Entry 1:
# NaFeAs2Pb (PBE, relaxed)
data_NaFeAs2Pb
_cell_length_a 5.0123
_cell_length_b 5.0123
_cell_length_c 5.3428
_cell_angle_alpha 90.00
_cell_angle_beta 90.00
_cell_angle_gamma 90.00
_symmetry_space_group_name_H-M 'P 4/m m m'
_symmetry_Int_Tables_number 123
_symmetry_space_group_name_Hall '-P 4 2'
loop_
_atom_site_label
_atom_site_type_symbol
_atom_site_fract_x
_atom_site_fract_y
_atom_site_fract_z
Na1 Na 0.0000 0.0000 0.0000
Fe1 Fe 0.5000 0.5000 0.5000
As1 As 0.0000 0.5000 0.0000
Pb1 Pb 0.0000 0.0000 0.5000
# **Formation enthalpy at 0 K**: 6.1 eV/f.u.
# **Uncorrected energy**: -16.7 eV per cell
# **N(E_F)**: 3.81 states/eV/cell
# **Theoretical density**: 5392 kg/m³
# **Total magnetization**: 3.50 μB per cell


Entry 2:
# RbNaFe2As (PBE, relaxed)
data_RbNaFe2As
_cell_length_a 5.4336
_cell_length_b 5.4336
_cell_length_c 5.8449
_cell_angle_alpha 90.00
_cell_angle_beta 90.00
_cell_angle_gamma 90.00
_symmetry_space_group_name_H-M 'P 4/m m m'
_symmetry_Int_Tables_number 123
_symmetry_space_group_name_Hall '-P 4 2'
loop_
_atom_site_label
_atom_site_type_symbol
_atom_site_fract_x
_atom_site_fract_y
_atom_site_fract_z
Rb1 Rb 0.0000 0.0000 0.0000
Na1 Na 0.5000 0.5000 0.5000
Fe1 Fe 0.0000 0.5000 0.0000
As1 As 0.0000 0.0000 0.5000
# **Formation enthalpy at 0 K**: 10.0 eV/f.u.
# **Uncorrected energy**: -13.9 eV per cell
# **N(E_F)**: 12.99 states/eV/cell
# **Theoretical density**: 2839 kg/m³
# **Total magnetization**: 7.26 μB per cell


Entry 3:
# Na2FeAs2Rh (PBE, relaxed)
data_Na2FeAs2Rh
_cell_length_a 5.7034
_cell_length_b 13.6261
_cell_length_c 5.6939
_cell_angle_alpha 90.00
_cell_angle_beta 90.00
_cell_angle_gamma 90.00
_symmetry_space_group_name_H-M 'I b a m'
_symmetry_Int_Tables_number 72
_symmetry_space_group_name_Hall '-I 2 2c'
loop_
_atom_site_label
_atom_site_type_symbol
_atom_site_fract_x
_atom_site_fract_y
_atom_site_fract_z
Na1 Na 0.2339 0.1734 0.0000
Fe1 Fe 0.0000 0.5000 0.2500
As1 As 0.2261 0.4024 0.0000
Rh1 Rh 0.0000 0.0000 0.2500
# **Formation enthalpy at 0 K**: -2.6 eV/f.u.
# **Uncorrected energy**: -121.3 eV per cell
# **N(E_F)**: 7.22 states/eV/cell
# **Theoretical density**: 5322 kg/m³
# **Total magnetization**: 0.00 μB per cell


Entry 4:
# NaFeAs2Rh (PBE, relaxed)
data_NaFeAs2Rh
_cell_length_a 3.9862
_cell_length_b 3.9862
_cell_length_c 11.4793
_cell_angle_alpha 90.00
_cell_angle_beta 90.00
_cell_angle_gamma 90.00
_symmetry_space_group_name_H-M 'I -4 m 2'
_symmetry_Int_Tables_number 119
_symmetry_space_group_name_Hall 'I -4 -2'
loop_
_atom_site_label
_atom_site_type_symbol
_atom_site_fract_x
_atom_site_fract_y
_atom_site_fract_z
Na1 Na 0.0000 0.0000 0.0000
Fe1 Fe 0.0000 0.5000 0.2500
As1 As 0.0000 0.0000 0.3643
Rh1 Rh 0.0000 0.5000 0.7500
# **Formation enthalpy at 0 K**: -1.9 eV/f.u.
# **Uncorrected energy**: -56.7 eV per cell
# **N(E_F)**: 4.65 states/eV/cell
# **Theoretical density**: 6037 kg/m³
# **Total magnetization**: 0.00 μB per cell


Entry 5:
# Na2FeAsRu (PBE, relaxed)
data_Na2FeAsRu
_cell_length_a 5.0997
_cell_length_b 5.0997
_cell_length_c 4.3834
_cell_angle_alpha 90.00
_cell_angle_beta 90.00
_cell_angle_gamma 90.00
_symmetry_space_group_name_H-M 'P 4/m m m'
_symmetry_Int_Tables_number 123
_symmetry_space_group_name_Hall '-P 4 2'
loop_
_atom_site_label
_atom_site_type_symbol
_atom_site_fract_x
_atom_site_fract_y
_atom_site_fract_z
Na1 Na 0.0000 0.5000 0.0000
Fe1 Fe 0.0000 0.0000 0.0000
As1 As 0.0000 0.0000 0.5000
Ru1 Ru 0.5000 0.5000 0.5000
# **Formation enthalpy at 0 K**: 5.5 eV/f.u.
# **Uncorrected energy**: -19.5 eV per cell
# **N(E_F)**: 4.76 states/eV/cell
# **Theoretical density**: 4047 kg/m³
# **Total magnetization**: 4.45 μB per cell


Entry 6:
# NaFeAsSe2 (PBE, relaxed)
data_NaFeAsSe2
_cell_length_a 5.0041
_cell_length_b 5.0041
_cell_length_c 4.5306
_cell_angle_alpha 90.00
_cell_angle_beta 90.00
_cell_angle_gamma 90.00
_symmetry_space_group_name_H-M 'P 4/m m m'
_symmetry_Int_Tables_number 123
_symmetry_space_group_name_Hall '-P 4 2'
loop_
_atom_site_label
_atom_site_type_symbol
_atom_site_fract_x
_atom_site_fract_y
_atom_site_fract_z
Na1 Na 0.0000 0.0000 0.0000
Fe1 Fe 0.5000 0.5000 0.5000
As1 As 0.5000 0.5000 0.0000
Se1 Se 0.0000 0.5000 0.5000
# **Uncorrected energy**: -21.7 eV per cell
# **Raw formation energy**: -1.20 kcal/mol of atoms
# **N(E_F)**: 5.30 states/eV/cell
# **Theoretical density**: 4562 kg/m³
# **Energy above the most stable polymorph in this dataset**: 0 meV/atom
# **Total magnetization**: 2.61 μB per cell


Entry 7:
# NaFeAsSe2 (PBE, relaxed)
data_NaFeAsSe2
_cell_length_a 5.0600
_cell_length_b 5.0600
_cell_length_c 4.9175
_cell_angle_alpha 90.00
_cell_angle_beta 90.00
_cell_angle_gamma 90.00
_symmetry_space_group_name_H-M 'P 4/m m m'
_symmetry_Int_Tables_number 123
_symmetry_space_group_name_Hall '-P 4 2'
loop_
_atom_site_label
_atom_site_type_symbol
_atom_site_fract_x
_atom_site_fract_y
_atom_site_fract_z
Na1 Na 0.0000 0.0000 0.0000
Fe1 Fe 0.5000 0.5000 0.5000
As1 As 0.0000 0.0000 0.5000
Se1 Se 0.0000 0.5000 0.0000
# **Uncorrected energy**: -15.6 eV per cell
# **Raw formation energy**: 26.61 kcal/mol of atoms
# **N(E_F)**: 7.21 states/eV/cell
# **Theoretical density**: 4111 kg/m³
# **Energy above the most stable polymorph in this dataset**: 1206 meV/atom
# **Total magnetization**: 3.63 μB per cell


Entry 8:
# NaFeSiAs2 (PBE, relaxed)
data_NaFeSiAs2
_cell_length_a 4.9541
_cell_length_b 4.9541
_cell_length_c 4.4471
_cell_angle_alpha 90.00
_cell_angle_beta 90.00
_cell_angle_gamma 90.00
_symmetry_space_group_name_H-M 'P 4/m m m'
_symmetry_Int_Tables_number 123
_symmetry_space_group_name_Hall '-P 4 2'
loop_
_atom_site_label
_atom_site_type_symbol
_atom_site_fract_x
_atom_site_fract_y
_atom_site_fract_z
Na1 Na 0.0000 0.0000 0.0000
Fe1 Fe 0.5000 0.5000 0.0000
Si1 Si 0.5000 0.5000 0.5000
As1 As 0.0000 0.5000 0.5000
# **Uncorrected energy**: -22.0 eV per cell
# **Raw formation energy**: 11.38 kcal/mol of atoms
# **N(E_F)**: 4.14 states/eV/cell
# **Theoretical density**: 3906 kg/m³
# **Total magnetization**: 2.90 μB per cell


Entry 9:
# NaSr2Fe6As6 (PBE, relaxed)
data_NaSr2Fe6As6
_cell_length_a 16.5152
_cell_length_b 5.4042
_cell_length_c 6.7312
_cell_angle_alpha 90.00
_cell_angle_beta 113.76
_cell_angle_gamma 90.00
_symmetry_space_group_name_H-M 'C 1 2/m 1'
_symmetry_Int_Tables_number 12
_symmetry_space_group_name_Hall '-C 2y'
loop_
_atom_site_label
_atom_site_type_symbol
_atom_site_fract_x
_atom_site_fract_y
_atom_site_fract_z
Na1 Na 0.0000 0.0000 0.0000
Sr1 Sr 0.1623 0.5000 0.3260
Fe1 Fe 0.0000 0.2499 0.5000
Fe2 Fe 0.1670 0.2502 0.8331
As1 As 0.0484 0.5000 0.8125
As2 As 0.1204 0.0000 0.5244
As3 As 0.2144 0.0000 0.1405
# **Formation enthalpy at 0 K**: -6.7 eV/f.u.
# **Uncorrected energy**: -180.2 eV per cell
# **N(E_F)**: 19.11 states/eV/cell
# **Theoretical density**: 5936 kg/m³
# **Total magnetization**: 0.95 μB per cell


Entry 10:
# NaFeTcAs2 (PBE, relaxed)
data_NaFeTcAs2
_cell_length_a 3.8281
_cell_length_b 3.8281
_cell_length_c 13.0904
_cell_angle_alpha 90.00
_cell_angle_beta 90.00
_cell_angle_gamma 90.00
_symmetry_space_group_name_H-M 'I -4 m 2'
_symmetry_Int_Tables_number 119
_symmetry_space_group_name_Hall 'I -4 -2'
loop_
_atom_site_label
_atom_site_type_symbol
_atom_site_fract_x
_atom_site_fract_y
_atom_site_fract_z
Na1 Na 0.0000 0.0000 0.0000
Fe1 Fe 0.0000 0.5000 0.2500
Tc1 Tc 0.0000 0.5000 0.7500
As1 As 0.0000 0.0000 0.3679
# **Formation enthalpy at 0 K**: -1.2 eV/f.u.
# **Uncorrected energy**: -61.3 eV per cell
# **N(E_F)**: 6.05 states/eV/cell
# **Theoretical density**: 5656 kg/m³
# **Total magnetization**: 4.63 μB per cell


Entry 11:
# Nb2FeAs2 (PBE, relaxed)
data_Nb2FeAs2
_cell_length_a 6.0878
_cell_length_b 6.0878
_cell_length_c 4.1924
_cell_angle_alpha 90.00
_cell_angle_beta 90.00
_cell_angle_gamma 90.00
_symmetry_space_group_name_H-M 'P 4/m b m'
_symmetry_Int_Tables_number 127
_symmetry_space_group_name_Hall '-P 4 2ab'
loop_
_atom_site_label
_atom_site_type_symbol
_atom_site_fract_x
_atom_site_fract_y
_atom_site_fract_z
Nb1 Nb 0.1677 0.3323 0.0000
Fe1 Fe 0.0000 0.0000 0.5000
As1 As 0.1476 0.6476 0.5000
# **Formation enthalpy at 0 K**: -0.9 eV/f.u.
# **Uncorrected energy**: -77.6 eV per cell
# **N(E_F)**: 10.83 states/eV/cell
# **Theoretical density**: 8368 kg/m³
# **Total magnetization**: 0.00 μB per cell


Entry 12:
# Nb3FeAs (PBE, relaxed)
data_Nb3FeAs
_cell_length_a 4.5905
_cell_length_b 4.5905
_cell_length_c 4.5905
_cell_angle_alpha 90.00
_cell_angle_beta 90.00
_cell_angle_gamma 90.00
_symmetry_space_group_name_H-M 'P m -3 m'
_symmetry_Int_Tables_number 221
_symmetry_space_group_name_Hall '-P 4 2 3'
loop_
_atom_site_label
_atom_site_type_symbol
_atom_site_fract_x
_atom_site_fract_y
_atom_site_fract_z
Nb1 Nb 0.0000 0.0000 0.5000
Fe1 Fe 0.0000 0.0000 0.0000
As1 As 0.5000 0.5000 0.5000
# **Formation enthalpy at 0 K**: 3.0 eV/f.u.
# **Uncorrected energy**: -40.3 eV per cell
# **N(E_F)**: 6.24 states/eV/cell
# **Theoretical density**: 7029 kg/m³
# **Energy above the most stable polymorph in this dataset**: 0 meV/atom
# **Total magnetization**: 0.00 μB per cell